Entry from Alexandria: a relaxed structure of TaCo2W (PBE-GGA).

Calculated values
Calculated density in g/cm3: 14.5
Symmetry: Cm, No. 8
ΔH_f (0 K) in eV/atom: 0.028

Unit cell a=4.624 b=4.624 c=4.634 alpha=80.59 beta=80.59 gamma=34.44
Fractional coordinates of all 4 atoms:
Co (0.993, 0.993, 0.974)
Co (0.259, 0.259, 0.270)
Ta (0.509, 0.509, 0.455)
W (0.739, 0.739, 0.801)

Entry from Alexandria: a relaxed structure of TaCo2W (PBE-GGA).

Calculated values
Calculated density in g/cm3: 14.3
Symmetry: Cmm2, No. 35
ΔH_f (0 K) in eV/atom: 0.087

Unit cell a=2.710 b=2.710 c=7.670 alpha=90.00 beta=90.00 gamma=96.51
Fractional coordinates of all 4 atoms:
Co (0.000, 0.000, 0.024)
Co (0.500, 0.500, 0.219)
Ta (0.000, 0.000, 0.477)
W (0.500, 0.500, 0.779)

Entry from Alexandria: a relaxed structure of TaCo4W (PBE-GGA).

Calculated values
Calculated density in g/cm3: 13.4
Energy above the most stable polymorph in this dataset in meV per atom: 0
Symmetry: F-43m, No. 216
ΔH_f (0 K) in eV/atom: -0.091

Unit cell a=4.718 b=4.718 c=4.718 alpha=60.00 beta=60.00 gamma=60.00
Fractional coordinates of all 6 atoms:
Co (0.375, 0.375, 0.375)
Co (0.375, 0.876, 0.375)
Co (0.375, 0.375, 0.876)
Co (0.876, 0.375, 0.375)
Ta (0.750, 0.750, 0.750)
W (0.000, 0.000, 0.000)

Entry from Alexandria: a relaxed structure of TaCo2W2 (PBE-GGA).

Calculated values
Calculated density in g/cm3: 14.6
Energy above the most stable polymorph in this dataset in meV per atom: 200
Symmetry: I4/mmm, No. 139
ΔH_f (0 K) in eV/atom: 0.301

Unit cell a=3.768 b=3.768 c=5.953 alpha=71.55 beta=71.55 gamma=90.00
Fractional coordinates of all 5 atoms:
Co (0.401, 0.401, 0.198)
Co (0.599, 0.599, 0.802)
W (0.750, 0.250, 0.500)
W (0.250, 0.750, 0.500)
Ta (0.000, 0.000, 0.000)

So what do the calculations give for N(E_F)? Going down the list: 1.019, 0.781, 1.648, 1.355 states/eV/atom.
So what do the calculations give for total magnetization? Going down the list: 0.000, 0.538, 0.258, 0.000 μB per atom.